[1]
VASP calculation (PBE-GGA) on crystalline Dy5As4O at its relaxed geometry.

Cell: 6.9444 6.9444 6.9444 Å, 99.99 99.99 130.77°
Last column: nearest neighbours and their distance in Å.
Positions (direct):
Dy 0.0000 0.0000 0.0000  1 O 2.18
Dy 0.1449 0.3341 0.6150  1 O 2.73, 5 As 2.85-2.89
Dy 0.3341 0.7191 0.1892  1 O 2.73, 5 As 2.85-2.89
Dy 0.5299 0.1449 0.8108  1 O 2.73, 5 As 2.85-2.89
Dy 0.7191 0.5299 0.3850  1 O 2.73, 5 As 2.85-2.89
As 0.0266 0.6318 0.7944  6 Dy 2.84-2.89
As 0.2322 0.0266 0.3948  6 Dy 2.84-2.89
As 0.6318 0.8374 0.6052  6 Dy 2.84-2.89
As 0.8374 0.2322 0.2056  6 Dy 2.84-2.89
O 0.3767 0.3767 0.0000  1 Dy 2.18

Values from the calculation:
space group = I4 (79)
V = 23.057 A^3/atom
formation energy (no corrections) = -1.722 eV/atom

[2]
VASP calculation (PBE-GGA) on crystalline Sr3SmTm3S8 at its relaxed geometry.

Cell: 8.2268 8.2268 8.2268 Å, 57.82 57.82 57.82°
Last column: nearest neighbours and their distance in Å.
Positions (direct):
Sr 0.0000 0.5000 0.5000  6 S 2.97-2.99
Sr 0.5000 0.0000 0.5000  6 S 2.97-2.99
Sr 0.5000 0.5000 0.0000  6 S 2.97-2.99
Sm 0.5000 0.5000 0.5000  6 S 2.81
Tm 0.0000 0.0000 0.5000  6 S 2.74-2.76
Tm 0.0000 0.5000 0.0000  6 S 2.74-2.76
Tm 0.5000 0.0000 0.0000  6 S 2.74-2.76
S 0.2329 0.7461 0.7461  2 Tm 2.74, 1 Sm 2.81, 2 Sr 2.99
S 0.2414 0.2414 0.2414  3 Tm 2.76, 3 Sr 2.97
S 0.2539 0.2539 0.7671  2 Tm 2.74, 1 Sm 2.81, 2 Sr 2.99
S 0.2539 0.7671 0.2539  2 Tm 2.74, 1 Sm 2.81, 2 Sr 2.99
S 0.7461 0.2329 0.7461  2 Tm 2.74, 1 Sm 2.81, 2 Sr 2.99
S 0.7461 0.7461 0.2329  2 Tm 2.74, 1 Sm 2.81, 2 Sr 2.99
S 0.7586 0.7586 0.7586  3 Tm 2.76, 3 Sr 2.97
S 0.7671 0.2539 0.2539  2 Tm 2.74, 1 Sm 2.81, 2 Sr 2.99

Values from the calculation:
space group = R-3m (166)
V = 24.932 A^3/atom
formation energy (no corrections) = -2.061 eV/atom

[3]
VASP calculation (PBE-GGA) on crystalline Nb3AgSb at its relaxed geometry.

Cell: 5.0449 5.0449 5.0449 Å, 90.00 90.00 90.00°
Last column: nearest neighbours and their distance in Å.
Positions (direct):
Nb 0.0000 0.0000 0.5000  2 Sb 2.52
Nb 0.0000 0.5000 0.0000  2 Sb 2.52
Nb 0.5000 0.0000 0.0000  2 Sb 2.52
Ag 0.5000 0.5000 0.5000  12 Nb 3.57
Sb 0.0000 0.0000 0.0000  6 Nb 2.52

Values from the calculation:
offset from the most stable computed form = 0.026 eV per atom
space group = Pm-3m (221)
V = 25.680 A^3/atom
formation energy (no corrections) = 1.540 eV/atom

[4]
VASP calculation (PBE-GGA) on crystalline PmPrNd2 at its relaxed geometry.

Cell: 6.3899 6.3899 6.3899 Å, 131.88 131.88 70.41°
Last column: nearest neighbours and their distance in Å.
Positions (direct):
Pm 0.0000 0.0000 0.0000  8 Nd 3.68-3.69, 4 Pr 3.69
Pr 0.7500 0.2500 0.5000  8 Nd 3.68-3.69, 4 Pm 3.69
Nd 0.2500 0.7500 0.5000  4 Pr 3.68, 4 Nd 3.69, 4 Pm 3.69
Nd 0.5000 0.5000 0.0000  4 Pm 3.68, 4 Pr 3.69, 4 Nd 3.69

Values from the calculation:
offset from the most stable computed form = 0.002 eV per atom
space group = I-4m2 (119)
V = 35.428 A^3/atom
formation enthalpy at 0 K = 0.0141 eV/atom

[5]
VASP calculation (PBE-GGA) on crystalline AlRh3F at its relaxed geometry.

Cell: 4.5562 4.5562 4.5562 Å, 90.00 90.00 90.00°
Last column: nearest neighbours and their distance in Å.
Positions (direct):
Al 0.0000 0.0000 0.0000  6 Rh 2.28
Rh 0.0000 0.0000 0.5000  2 Al 2.28
Rh 0.0000 0.5000 0.0000  2 Al 2.28
Rh 0.5000 0.0000 0.0000  2 Al 2.28
F 0.5000 0.5000 0.5000  12 Rh 3.22

Values from the calculation:
offset from the most stable computed form = 0.391 eV per atom
space group = Pm-3m (221)
V = 18.916 A^3/atom
formation energy (no corrections) = 0.779 eV/atom

[6]
VASP calculation (PBE-GGA) on crystalline Ac6Hg2Ir2Rh at its relaxed geometry.

Cell: 7.5705 7.5705 8.4415 Å, 98.61 98.61 120.10°
Last column: nearest neighbours and their distance in Å.
Positions (direct):
Ac 0.0626 0.4016 0.2007  2 Ir 2.97-3.00, 1 Rh 3.02
Ac 0.2635 0.2635 0.8025  1 Rh 2.96, 2 Ir 2.99
Ac 0.4016 0.0626 0.2007  2 Ir 2.97-3.00, 1 Rh 3.02
Ac 0.5984 0.9374 0.7993  2 Ir 2.97-3.00, 1 Rh 3.02
Ac 0.7365 0.7365 0.1975  1 Rh 2.96, 2 Ir 2.99
Ac 0.9374 0.5984 0.7993  2 Ir 2.97-3.00, 1 Rh 3.02
Hg 0.1647 0.8353 0.5000  6 Ac 3.48-3.49
Hg 0.8353 0.1647 0.5000  6 Ac 3.48-3.49
Ir 0.3335 0.6665 0.0000  6 Ac 2.97-3.00
Ir 0.6665 0.3335 0.0000  6 Ac 2.97-3.00
Rh 0.0000 0.0000 0.0000  6 Ac 2.96-3.02

Values from the calculation:
space group = C2/m (12)
V = 36.302 A^3/atom
formation enthalpy at 0 K = -0.5938 eV/atom

[7]
VASP calculation (PBE-GGA) on crystalline Zn2Pt2Se at its relaxed geometry.

Cell: 7.5110 7.5110 2.8815 Å, 90.00 90.00 90.00°
Last column: nearest neighbours and their distance in Å.
Positions (direct):
Zn 0.1350 0.3650 0.0000  6 Pt 2.60-2.66, 3 Zn 2.87-2.88
Zn 0.3650 0.8650 0.0000  6 Pt 2.60-2.66, 3 Zn 2.87-2.88
Zn 0.6350 0.1350 0.0000  6 Pt 2.60-2.66, 3 Zn 2.87-2.88
Zn 0.8650 0.6350 0.0000  6 Pt 2.60-2.66, 3 Zn 2.87-2.88
Pt 0.1615 0.6615 0.5000  6 Zn 2.60-2.66, 2 Se 2.82, 2 Pt 2.88
Pt 0.3385 0.1615 0.5000  6 Zn 2.60-2.66, 2 Se 2.82, 2 Pt 2.88
Pt 0.6615 0.8385 0.5000  6 Zn 2.60-2.66, 2 Se 2.82, 2 Pt 2.88
Pt 0.8385 0.3385 0.5000  6 Zn 2.60-2.66, 2 Se 2.82, 2 Pt 2.88
Se 0.0000 0.0000 0.5000  4 Pt 2.82, 2 Se 2.88
Se 0.5000 0.5000 0.5000  4 Pt 2.82, 2 Se 2.88

Values from the calculation:
offset from the most stable computed form = 0.000 eV per atom
space group = P4/mbm (127)
V = 16.256 A^3/atom
formation energy (no corrections) = -0.295 eV/atom

[8]
VASP calculation (PBE-GGA) on crystalline Na2CaTl at its relaxed geometry.

Cell: 5.5395 5.5395 5.5395 Å, 60.00 60.00 60.00°
Last column: nearest neighbours and their distance in Å.
Positions (direct):
Na 0.2500 0.2500 0.2500  4 Tl 3.39, 4 Ca 3.39
Na 0.7500 0.7500 0.7500  4 Tl 3.39, 4 Ca 3.39
Ca 0.0000 0.0000 0.0000  8 Na 3.39
Tl 0.5000 0.5000 0.5000  8 Na 3.39

Values from the calculation:
offset from the most stable computed form = 0.054 eV per atom
space group = Fm-3m (225)
V = 30.050 A^3/atom
formation enthalpy at 0 K = -0.0464 eV/atom

[9]
VASP calculation (PBE-GGA) on crystalline HoThZnAg at its relaxed geometry.

Cell: 5.1809 5.1809 5.1809 Å, 60.00 60.00 60.00°
Last column: nearest neighbours and their distance in Å.
Positions (direct):
Ho 0.0000 0.0000 0.0000  4 Zn 3.17, 4 Ag 3.17
Th 0.5000 0.5000 0.5000  4 Zn 3.17, 4 Ag 3.17
Zn 0.7500 0.7500 0.7500  4 Th 3.17, 4 Ho 3.17
Ag 0.2500 0.2500 0.2500  4 Th 3.17, 4 Ho 3.17

Values from the calculation:
space group = F-43m (216)
V = 24.583 A^3/atom
formation enthalpy at 0 K = -0.1748 eV/atom

[10]
VASP calculation (PBE-GGA) on crystalline LiIn2Rh at its relaxed geometry.

Cell: 5.2740 5.2740 5.2740 Å, 135.89 135.89 64.16°
Last column: nearest neighbours and their distance in Å.
Positions (direct):
Li 0.0000 0.0000 0.0000  8 In 2.80-2.99, 4 Rh 2.99
In 0.5000 0.5000 0.0000  4 Li 2.80, 4 In 2.99, 4 Rh 2.99
In 0.7500 0.2500 0.5000  4 Rh 2.80, 4 In 2.99, 4 Li 2.99
Rh 0.2500 0.7500 0.5000  8 In 2.80-2.99, 4 Li 2.99

Values from the calculation:
offset from the most stable computed form = 0.099 eV per atom
space group = I-4m2 (119)
V = 17.529 A^3/atom
formation enthalpy at 0 K = -0.3192 eV/atom

[11]
VASP calculation (PBE-GGA) on crystalline VGa2H at its relaxed geometry.

Cell: 2.9705 2.9705 6.7255 Å, 90.00 90.00 120.00°
Last column: nearest neighbours and their distance in Å.
Positions (direct):
V 0.0000 0.0000 0.0000  3 H 1.72
Ga 0.3333 0.6667 0.3150  1 Ga 2.51, 3 H 2.68, 3 V 2.73
Ga 0.3333 0.6667 0.6875  1 Ga 2.51, 3 V 2.71, 3 H 2.76
H 0.6667 0.3333 0.0087  3 V 1.72

Values from the calculation:
offset from the most stable computed form = 0.000 eV per atom
space group = P3m1 (156)
V = 12.850 A^3/atom

[12]
VASP calculation (PBE-GGA) on crystalline Zn2FeTe at its relaxed geometry.

Cell: 3.0413 4.2063 6.0552 Å, 90.00 99.23 90.00°
Last column: nearest neighbours and their distance in Å.
Positions (direct):
Zn 0.0000 0.0000 0.0000  2 Fe 2.54, 4 Zn 2.64-2.68
Zn 0.4555 0.5000 0.9010  2 Fe 2.51-2.54, 4 Zn 2.64-2.68
Fe 0.0555 0.5000 0.2391  4 Zn 2.51-2.54, 2 Te 2.68
Te 0.3232 0.0000 0.5021  2 Fe 2.68

Values from the calculation:
space group = Pm (6)
V = 19.115 A^3/atom
formation energy (no corrections) = 0.256 eV/atom

> Among the records above, which one has the lowest V?

VGa2H

> What is the V in the third record?

25.680 A^3/atom